1.
A plane-wave DFT calculation with PBE was carried out for a geometry-optimized Zr2InFe structure.

The space group is Immm (No. 71) and the conventional cell measures 3.6461, 4.9272 and 8.6705 Å, with angles of 90.00, 90.00 and 90.00 degrees. The asymmetric unit holds Zr at (0.0000, 0.0000, 0.2089), In at (0.0000, 0.5000, 0.0000) and Fe at (0.0000, 0.5000, 0.5000).

The density of states at the Fermi level comes out at 6.4 states/eV/cell. For the total magnetic moment, the calculation gives 0.3 μB/f.u. The calculation puts the total DFT energy (no corrections) at -7.140 eV per atom.

2.
A plane-wave DFT calculation with PBE was carried out for a geometry-optimized TaPtO2 structure.

The space group is R-3m (No. 166, hexagonal axes) and the conventional cell measures 2.8592, 2.8592 and 20.4730 Å, with angles of 90.00, 90.00 and 120.00 degrees. The asymmetric unit holds Ta at (0.0000, 0.0000, 0.0000), Pt at (0.0000, 0.0000, 0.5000) and O at (0.0000, 0.0000, 0.3993).

The density of states at the Fermi level comes out at 4.1 states/eV/cell. For the total magnetic moment, the calculation gives 0.0 μB/f.u. The value obtained for the excess energy over the best structure of this formula in the dataset is 0 meV per atom. The uncorrected formation energy is -1414 meV/atom. The calculation puts the total DFT energy (no corrections) at -8.367 eV per atom.

3.
A plane-wave DFT calculation with PBE was carried out for a geometry-optimized Na2ZrBr5 structure.

The space group is Pnma (No. 62) and the conventional cell measures 12.8151, 8.5225 and 8.0808 Å, with angles of 90.00, 90.00 and 90.00 degrees. The asymmetric unit holds Na at (0.1766, 0.0023, 0.0500), Zr at (0.0025, 0.2500, 0.4250), Br at (0.0010, 0.2500, 0.0724), Br at (0.0823, 0.0396, 0.6614), Br at (0.1738, 0.7500, 0.3642) and Br at (0.2120, 0.2500, 0.3373).

The density of states at the Fermi level comes out at 20.8 states/eV/cell. For the total magnetic moment, the calculation gives 1.0 μB/f.u. The value obtained for the excess energy over the best structure of this formula in the dataset is 0 meV per atom. The uncorrected formation energy is -1341 meV/atom. The calculation puts the total DFT energy (no corrections) at -3.785 eV per atom.

4.
A plane-wave DFT calculation with PBE was carried out for a geometry-optimized TiBeV structure.

The space group is Fmm2 (No. 42) and the conventional cell measures 7.4478, 8.3004 and 5.4591 Å, with angles of 90.00, 90.00 and 90.00 degrees. The asymmetric unit holds Ti at (0.0000, 0.2485, 0.0000), Be at (0.0000, 0.0000, 0.2708), Be at (0.0000, 0.0000, 0.7316) and V at (0.2400, 0.0000, 0.0017).

The density of states at the Fermi level comes out at 25.3 states/eV/cell. For the total magnetic moment, the calculation gives 0.0 μB/f.u. The value obtained for the excess energy over the best structure of this formula in the dataset is 397 meV per atom. The calculation puts the total DFT energy (no corrections) at -6.545 eV per atom.

5.
A plane-wave DFT calculation with PBE was carried out for a geometry-optimized TaV2CS structure.

The space group is P4/mmm (No. 123) and the conventional cell measures 4.4491, 4.4491 and 3.5627 Å, with angles of 90.00, 90.00 and 90.00 degrees. The asymmetric unit holds Ta at (0.0000, 0.0000, 0.0000), V at (0.0000, 0.5000, 0.5000), C at (0.5000, 0.5000, 0.0000) and S at (0.5000, 0.5000, 0.5000).

The density of states at the Fermi level comes out at 4.7 states/eV/cell. For the total magnetic moment, the calculation gives 0.0 μB/f.u. The uncorrected formation energy is 1076 meV/atom. The calculation puts the total DFT energy (no corrections) at -7.612 eV per atom.

6.
A plane-wave DFT calculation with PBE was carried out for a geometry-optimized LiNd2Ni3P4 structure.

The space group is P-4m2 (No. 115) and the conventional cell measures 4.0878, 4.0878 and 9.2593 Å, with angles of 90.00, 90.00 and 90.00 degrees. The asymmetric unit holds Li at (0.0000, 0.0000, 0.0000), Nd at (0.0000, 0.5000, 0.7461), Ni at (0.0000, 0.5000, 0.3899), Ni at (0.5000, 0.5000, 0.0000), P at (0.0000, 0.0000, 0.5000), P at (0.0000, 0.5000, 0.1364) and P at (0.5000, 0.5000, 0.5000).

The density of states at the Fermi level comes out at 2.5 states/eV/cell. For the total magnetic moment, the calculation gives 0.0 μB/f.u. The calculation puts the total DFT energy (no corrections) at -6.019 eV per atom.